Density functional theory data (PBE) for SrLiTlAg2 after structural relaxation.

Cell lengths 4.389, 4.242, 7.420 Å; angles 106.61, 107.20, 90.00 degrees
Positions (direct):
Ag  0.683  0.183  0.366
Ag  0.052  0.052  0.104
Li  0.189  0.689  0.378
Sr  0.457  0.457  0.914
Tl  0.831  0.831  0.662

## Properties
Crystal system: orthorhombic
Fermi-level density of states, states/eV/f.u.: 2.912
ρ, g cm⁻³: 6.79
Energy relative to the lowest polymorph listed for this composition, eV per formula unit: 0.00
Formation energy from the elements, eV/atom: -0.206